A geometry-optimized Y3WF structure, computed with PBE with a Hubbard U.

Values from the calculation:
VASP energy: -0.1930 Ha/atom

Cell: 5.571 5.571 5.571 Å, 90.00 90.00 90.00°
Space group Pm-3m (No. 221)
Asymmetric unit:
Y (0.000, 0.000, 0.500) (multiplicity 3)
W (0.000, 0.000, 0.000) (multiplicity 1)
F (0.500, 0.500, 0.500) (multiplicity 1)